[1]
The following is a PBE calculation of a geometry-optimized Cu6Pd3Pt structure, from Alexandria via LeMat-Bulk.

```
data_Cu6Pd3Pt
_cell_length_a 10.6951
_cell_length_b 2.7177
_cell_length_c 10.7202
_cell_angle_alpha 90.00
_cell_angle_beta 117.15
_cell_angle_gamma 90.00
_space_group_name_H-M_alt 'P 1'
_space_group_IT_number 1
loop_
_space_group_symop_operation_xyz
'x,y,z'
loop_
_atom_site_label
_atom_site_fract_x
_atom_site_fract_y
_atom_site_fract_z
Cu1 0.0465 0.2500 0.3232
Cu2 0.1956 0.2500 0.1993
Cu3 0.2004 0.7500 0.8175
Cu4 0.4089 0.2500 0.9124
Cu5 0.4215 0.7500 0.7238
Cu6 0.4256 0.7500 0.3618
Cu7 0.5744 0.2500 0.6382
Cu8 0.5785 0.2500 0.2762
Cu9 0.5911 0.7500 0.0876
Cu10 0.7996 0.2500 0.1825
Cu11 0.8044 0.7500 0.8007
Cu12 0.9535 0.7500 0.6768
Pd1 0.0580 0.2500 0.9213
Pd2 0.1302 0.7500 0.5609
Pd3 0.3086 0.2500 0.4832
Pd4 0.6914 0.7500 0.5168
Pd5 0.8698 0.2500 0.4391
Pd6 0.9420 0.7500 0.0787
Pt1 0.3396 0.7500 0.0905
Pt2 0.6604 0.2500 0.9095
```

Properties
Space-group type: P2_1/m, No. 11
Excess energy over the best structure of this formula in the dataset (eV/atom): 0.116
Calculated density (g/cm³): 10.73
Energy relative to the elements (meV/atom): 2.2
M_tot (μB/f.u.): 0.00

[2]
The following is a PBE calculation of a geometry-optimized CuPd4Pt structure, from Alexandria via LeMat-Bulk.

```
data_CuPd4Pt
_cell_length_a 4.8032
_cell_length_b 2.7751
_cell_length_c 6.7385
_cell_angle_alpha 90.00
_cell_angle_beta 90.31
_cell_angle_gamma 90.00
_space_group_name_H-M_alt 'P 1'
_space_group_IT_number 1
loop_
_space_group_symop_operation_xyz
'x,y,z'
loop_
_atom_site_label
_atom_site_fract_x
_atom_site_fract_y
_atom_site_fract_z
Cu1 0.0000 0.0000 0.0000
Pd1 0.1660 0.5000 0.6711
Pd2 0.3306 0.0000 0.3280
Pd3 0.6694 0.0000 0.6720
Pd4 0.8340 0.5000 0.3289
Pt1 0.5000 0.5000 0.0000
```

Properties
Space-group type: P2/m, No. 10
Excess energy over the best structure of this formula in the dataset (eV/atom): 0.000
Calculated density (g/cm³): 12.65
Energy relative to the elements (meV/atom): -50.2
M_tot (μB/f.u.): 0.00

[3]
The following is a PBE calculation of a geometry-optimized CuPd2Pt6 structure, from Alexandria via LeMat-Bulk.

```
data_CuPd2Pt6
_cell_length_a 8.3220
_cell_length_b 8.3220
_cell_length_c 3.9613
_cell_angle_alpha 90.00
_cell_angle_beta 90.00
_cell_angle_gamma 90.00
_space_group_name_H-M_alt 'P 1'
_space_group_IT_number 1
loop_
_space_group_symop_operation_xyz
'x,y,z'
loop_
_atom_site_label
_atom_site_fract_x
_atom_site_fract_y
_atom_site_fract_z
Cu1 0.0000 0.0000 0.0000
Cu2 0.5000 0.5000 0.5000
Pd1 0.1594 0.1594 0.5000
Pd2 0.3406 0.6594 0.0000
Pd3 0.6594 0.3406 0.0000
Pd4 0.8406 0.8406 0.5000
Pt1 0.0049 0.6702 0.0000
Pt2 0.1676 0.8324 0.5000
Pt3 0.1702 0.4951 0.5000
Pt4 0.3298 0.9951 0.0000
Pt5 0.3324 0.3324 0.0000
Pt6 0.4951 0.1702 0.5000
Pt7 0.5049 0.8298 0.5000
Pt8 0.6676 0.6676 0.0000
Pt9 0.6702 0.0049 0.0000
Pt10 0.8298 0.5049 0.5000
Pt11 0.8324 0.1676 0.5000
Pt12 0.9951 0.3298 0.0000
```

Properties
Space-group type: P4_2/mnm, No. 136
Excess energy over the best structure of this formula in the dataset (eV/atom): 0.000
Calculated density (g/cm³): 17.52
Energy relative to the elements (meV/atom): -72.1
M_tot (μB/f.u.): 0.00